Pr6Nd2Er: relaxed, PBE.

a b c (Å): 12.857 15.096 6.821
angles (deg): 90.00 105.47 90.00
Space group C2/c (No. 15)
Asymmetric unit:
Pr1 0.046 0.188 0.020 (multiplicity 8)
Pr2 0.136 0.401 0.818 (multiplicity 8)
Pr3 0.234 0.192 0.701 (multiplicity 8)
Nd1 0.143 0.020 0.366 (multiplicity 8)
Er1 0.000 0.391 0.250 (multiplicity 4)

Properties
- Formation energy: 2.53 kcal/mol of atoms
- Total magnetic moment: 0.0 Bohr magnetons per cell
- Electronic total energy: -167.16 eV for the cell shown
- Crystal system: monoclinic
- E above lowest polymorph: 0 meV/atom

***

LiMg6Cd12: relaxed, PBE.

a b c (Å): 13.4622 13.4622 7.8712
angles (deg): 90.00 90.00 120.00
Space group R-3 (No. 148, hexagonal axes)
Asymmetric unit:
Li1 0.0000 0.0000 0.0000 (multiplicity 3)
Mg1 0.0315 0.2750 0.3350 (multiplicity 18)
Cd1 0.0158 0.1406 0.6711 (multiplicity 18)
Cd2 0.0718 0.5634 0.6712 (multiplicity 18)

Properties
- Formation energy: -2.01 kcal/mol of atoms
- Total magnetic moment: 0.0 Bohr magnetons per cell
- Electronic total energy: -72.35 eV for the cell shown
- Crystal system: trigonal
- E above lowest polymorph: 0 meV/atom

***

GaCo3Sb: relaxed, PBE.

a b c (Å): 4.354 4.354 4.354
angles (deg): 90.00 90.00 90.00
Space group Pm-3m (No. 221)
Asymmetric unit:
Ga1 0.000 0.000 0.000 (multiplicity 1)
Co1 0.000 0.000 0.500 (multiplicity 3)
Sb1 0.500 0.500 0.500 (multiplicity 1)

Properties
- Total magnetic moment: 3.5 Bohr magnetons per cell
- ΔE_f (raw): 762 meV per atom
- Electronic total energy: -24.66 eV for the cell shown
- Crystal system: cubic
- E above lowest polymorph: 0 meV/atom

***

PmPuB4: relaxed, PBE.

a b c (Å): 7.636 9.766 4.061
angles (deg): 90.00 90.00 90.00
Space group Cmmm (No. 65)
Asymmetric unit:
Pm1 0.000 0.190 0.000 (multiplicity 4)
Pu1 0.166 0.500 0.000 (multiplicity 4)
B1 0.000 0.399 0.500 (multiplicity 4)
B2 0.119 0.000 0.500 (multiplicity 4)
B3 0.222 0.336 0.500 (multiplicity 8)

Properties
- Formation energy: -5.05 kcal/mol of atoms
- Total magnetic moment: 19.0 Bohr magnetons per cell
- Electronic total energy: -188.42 eV for the cell shown
- Crystal system: orthorhombic
- E above lowest polymorph: 0 meV/atom